[1]
The following is a DFT calculation (PBE) of a relaxed structure of Np4Se.

Cell and atoms, written as POSCAR:
```
Np4Se
1.0
5.3369 0.0000 0.0000
0.0000 5.3369 0.0000
0.0000 0.0000 5.3369
Np Se
4 1
Direct
0.0000 0.0000 0.0000
0.5000 0.0000 0.5000
0.0000 0.5000 0.5000
0.5000 0.5000 0.0000
0.5000 0.5000 0.5000
```

E = -10.18 eV/atom
D(E_F) = 34.79 states/eV/cell
magnetization = 8.34 Bohr magnetons per cell
space-group type = No. 221
volume = 152.0 Å³ per cell

[2]
The following is a DFT calculation (PBE) of a relaxed structure of NpSe5.

Cell and atoms, written as POSCAR:
```
NpSe5
1.0
3.9878 0.0000 0.0000
0.0000 3.9898 0.0000
0.0000 -1.9949 9.1429
Np Se
1 5
Direct
0.0000 0.0000 0.0000
0.5000 0.8612 0.7224
0.0000 0.6388 0.2775
0.5000 0.5000 0.0000
0.0000 0.3612 0.7225
0.5000 0.1388 0.2776
```

E = -5.44 eV/atom
D(E_F) = 8.86 states/eV/cell
magnetization = 2.68 Bohr magnetons per cell
space-group type = No. 65
volume = 145.5 Å³ per cell

Which value of volume does entry 2 give?
145.5 Å³ per cell

Which formula does entry 1 have?
Np4Se

The highest magnetization belongs to which entry?
Np4Se